## 1
Computed, not measured: CaRe2Ag after structural relaxation at the GGA-PBEsol level of DFT.

Properties
Density of states at the Fermi level = 0.5975 states/eV/atom

a b c (Å): 10.892 2.786 4.713
angles (deg): 90.00 107.00 90.00
Space group C2/m (No. 12)
Inequivalent atoms, fractional coordinates:
Ca1 0.000 0.000 0.000 [2 per cell]
Re1 0.231 0.000 0.737 [4 per cell]
Ag1 0.000 0.500 0.500 [2 per cell]

---

## 2
Computed, not measured: CaRe2Ag after structural relaxation at the GGA-PBEsol level of DFT.

Properties
Density of states at the Fermi level = 0.7804 states/eV/atom

a b c (Å): 3.779 3.779 9.747
angles (deg): 90.00 90.00 90.00
Space group I4/mmm (No. 139)
Inequivalent atoms, fractional coordinates:
Ca1 0.000 0.000 0.000 [2 per cell]
Re1 0.000 0.500 0.250 [4 per cell]
Ag1 0.000 0.000 0.500 [2 per cell]

---

Question: which arrangement is favored energetically? Ranking from most to least stable: 1, 2.